Entry from the Alexandria database: crystalline Tl2InCoHg at its relaxed geometry (PBE).

Output
calculated formation energy: 0.09 eV/atom
crystal system: tetragonal

a b c (Å): 5.1146 5.1146 5.0302
angles (deg): 90.00 90.00 90.00
Closest atoms and distances in Å follow each position.
Atoms (fractional coordinates):
Tl 0.0000 0.5000 0.0000  2 Co 2.56
Tl 0.5000 0.0000 0.0000  2 Co 2.56
Co 0.0000 0.0000 0.0000  2 In 2.52, 4 Tl 2.56
Hg 0.5000 0.5000 0.5000  8 Tl 3.59, 4 In 3.62
In 0.0000 0.0000 0.5000  2 Co 2.52

Entry from the Alexandria database: crystalline NaYAs2Se at its relaxed geometry (PBE).

Output
formation energy from raw total energies: -0.236 eV/atom
E above lowest polymorph: 0 meV/atom
crystal system: tetragonal

a b c (Å): 5.4760 5.4760 5.5162
angles (deg): 90.00 90.00 90.00
Closest atoms and distances in Å follow each position.
Atoms (fractional coordinates):
Y 0.0000 0.0000 0.0000  4 As 2.74, 2 Se 2.76
Na 0.5000 0.5000 0.5000  4 Se 3.87, 8 As 3.89
As 0.0000 0.5000 0.0000  2 Y 2.74
As 0.5000 0.0000 0.0000  2 Y 2.74
Se 0.0000 0.0000 0.5000  2 Y 2.76

Entry from the Alexandria database: crystalline AcCdRh at its relaxed geometry (PBE).

Output
calculated formation energy: -0.51 eV/atom
E above lowest polymorph: 0 meV/atom
crystal system: monoclinic

a b c (Å): 4.6310 6.6205 5.5345
angles (deg): 80.99 90.04 69.48
Closest atoms and distances in Å follow each position.
Atoms (fractional coordinates):
Ac 0.1351 0.7355 0.8081  4 Rh 2.93-3.16
Ac 0.8693 0.2678 0.1963  4 Rh 2.94-3.16
Cd 0.4154 0.1759 0.7101  3 Rh 2.80-2.90
Cd 0.5892 0.8274 0.2942  3 Rh 2.80-2.91
Rh 0.7859 0.4341 0.6627  3 Cd 2.80-2.91, 2 Ac 2.94-2.96, 2 Rh 2.95
Rh 0.2186 0.5691 0.3420  3 Cd 2.80-2.90, 2 Ac 2.93-2.96, 2 Rh 2.95